1.
Here is crystalline Zr2Zn3Ni2 at its relaxed geometry from the Alexandria database. Energies are from PBE.

Cell: 5.0781 5.0781 6.0453 Å, 102.78 102.78 47.14°
With the nearest neighbours (Å) after each atom.
Positions (direct):
Zr1 0.1197 0.1197 0.3564  5 Ni 2.61-2.89
Zr2 0.8803 0.8803 0.6436  5 Ni 2.61-2.89
Zn1 0.2066 0.2066 0.8746  2 Ni 2.47, 3 Zn 2.55-2.65
Zn2 0.5000 0.5000 0.0000  2 Ni 2.45, 2 Zn 2.65
Zn3 0.7934 0.7934 0.1254  2 Ni 2.47, 3 Zn 2.55-2.65
Ni1 0.3968 0.3968 0.3370  1 Ni 2.40, 3 Zn 2.45-2.47, 1 Zr 2.61
Ni2 0.6032 0.6032 0.6630  1 Ni 2.40, 3 Zn 2.45-2.47, 1 Zr 2.61

Output
Crystal system: monoclinic
ΔH_f (0 K) (eV per atom): -0.335
Final energy (eV/atom): -4.975

***

2.
Here is crystalline ZrZnNi3 at its relaxed geometry from the Alexandria database. Energies are from PBE.

Cell: 5.9521 5.9521 5.9521 Å, 131.70 110.65 88.98°
With the nearest neighbours (Å) after each atom.
Positions (direct):
Zr1 0.2530 0.0030 0.2500  5 Ni 2.55-2.79
Zr2 0.7470 0.9970 0.7500  5 Ni 2.55-2.79
Zn1 0.0000 0.5000 0.5000  6 Ni 2.38-2.48
Zn2 0.5000 0.5000 0.0000  6 Ni 2.38-2.48
Ni1 0.1918 0.0000 0.6918  5 Ni 2.44-2.60, 2 Zn 2.48
Ni2 0.1918 0.5000 0.1918  5 Ni 2.44-2.60, 2 Zn 2.48
Ni3 0.4465 0.6965 0.7500  2 Zn 2.38, 6 Ni 2.46-2.60, 1 Zr 2.55
Ni4 0.5535 0.3035 0.2500  2 Zn 2.38, 6 Ni 2.46-2.60, 1 Zr 2.55
Ni5 0.8082 0.0000 0.3082  5 Ni 2.44-2.60, 2 Zn 2.48
Ni6 0.8082 0.5000 0.8082  5 Ni 2.44-2.60, 2 Zn 2.48

Output
Crystal system: orthorhombic
ΔH_f (0 K) (eV per atom): -0.230
Energy above the lowest structure with this stoichiometry (meV per atom): 0
Final energy (eV/atom): -5.663

***

3.
Here is crystalline ZrZnNi3 at its relaxed geometry from the Alexandria database. Energies are from PBE.

Cell: 4.3034 4.3034 4.3034 Å, 90.00 90.00 90.00°
With the nearest neighbours (Å) after each atom.
Positions (direct):
Zr1 0.0000 0.0000 0.0000  12 Ni 3.04
Zn1 0.5000 0.5000 0.5000  6 Ni 2.15
Ni1 0.0000 0.5000 0.5000  2 Zn 2.15
Ni2 0.5000 0.0000 0.5000  2 Zn 2.15
Ni3 0.5000 0.5000 0.0000  2 Zn 2.15

Output
Crystal system: cubic
ΔH_f (0 K) (eV per atom): 0.428
Energy above the lowest structure with this stoichiometry (meV per atom): 658
Final energy (eV/atom): -5.005

***

4.
Here is crystalline Zr2Zn3Ni at its relaxed geometry from the Alexandria database. Energies are from PBE.

Cell: 5.1767 5.1767 8.3301 Å, 90.00 90.00 120.00°
With the nearest neighbours (Å) after each atom.
Positions (direct):
Zr1 0.3333 0.6667 0.0521  9 Zn 2.93-3.07, 3 Ni 3.02, 3 Zr 3.11
Zr2 0.3333 0.6667 0.4479  9 Zn 2.93-3.07, 3 Ni 3.02, 3 Zr 3.11
Zr3 0.6667 0.3333 0.5521  9 Zn 2.93-3.07, 3 Ni 3.02, 3 Zr 3.11
Zr4 0.6667 0.3333 0.9479  9 Zn 2.93-3.07, 3 Ni 3.02, 3 Zr 3.11
Zn1 0.1657 0.3314 0.7500  2 Ni 2.56, 4 Zn 2.57-2.60
Zn2 0.1657 0.8343 0.7500  2 Ni 2.56, 4 Zn 2.57-2.60
Zn3 0.3314 0.1657 0.2500  2 Ni 2.56, 4 Zn 2.57-2.60
Zn4 0.6686 0.8343 0.7500  2 Ni 2.56, 4 Zn 2.57-2.60
Zn5 0.8343 0.1657 0.2500  2 Ni 2.56, 4 Zn 2.57-2.60
Zn6 0.8343 0.6686 0.2500  2 Ni 2.56, 4 Zn 2.57-2.60
Ni1 0.0000 0.0000 0.0000  6 Zn 2.56
Ni2 0.0000 0.0000 0.5000  6 Zn 2.56

Output
Crystal system: hexagonal
ΔH_f (0 K) (eV per atom): -0.307
Final energy (eV/atom): -4.757